1.
Density functional theory data (GGA-PBE) for crystalline Tb6MgHg5 at its relaxed geometry.

formation energy	-0.42	eV/atom
E_tot	-35.89	eV/f.u.

Unit cell a=9.188 b=9.188 c=9.188 alpha=146.74 beta=131.79 gamma=59.83
Fractional positions:
1 Tb 0.079 0.330 0.748
2 Tb 0.241 0.000 0.241
3 Tb 0.418 0.670 0.748
4 Tb 0.582 0.330 0.252
5 Tb 0.759 0.000 0.759
6 Tb 0.921 0.670 0.252
7 Mg 0.500 0.500 0.000
8 Hg 0.000 0.500 0.500
9 Hg 0.166 0.166 0.000
10 Hg 0.347 0.847 0.500
11 Hg 0.653 0.153 0.500
12 Hg 0.834 0.834 0.000

2.
Density functional theory data (GGA-PBE) for crystalline Tb3Mg4Hg4 at its relaxed geometry.

formation energy	-0.34	eV/atom
E_tot	-25.21	eV/f.u.

Unit cell a=9.074 b=9.074 c=9.074 alpha=152.87 beta=127.02 gamma=60.53
Fractional positions:
1 Tb 0.000 0.000 0.000
2 Tb 0.385 0.885 0.500
3 Tb 0.615 0.115 0.500
4 Mg 0.020 0.329 0.691
5 Mg 0.363 0.671 0.691
6 Mg 0.637 0.329 0.309
7 Mg 0.980 0.671 0.309
8 Hg 0.232 0.232 0.000
9 Hg 0.300 0.500 0.800
10 Hg 0.700 0.500 0.200
11 Hg 0.768 0.768 0.000

no.,DOS at the Fermi energy (states/eV/f.u.)
1,13.0
2,7.5